# 1
The following is a GGA-PBE calculation of a relaxed structure of SmSnBi, from Alexandria via LeMat-Bulk.

Cell and atoms, written as CIF:
```
data_SmSnBi
_chemical_formula_sum 'Sm1 Sn1 Bi1'
_space_group_name_H-M_alt 'P 3 m 1'
_space_group_IT_number 156
_space_group_name_Hall 'P 3 -2"'
_cell_length_a 5.3570
_cell_length_b 5.3570
_cell_length_c 3.6468
_cell_angle_alpha 90.00
_cell_angle_beta 90.00
_cell_angle_gamma 120.00
loop_
_atom_site_label
_atom_site_fract_x
_atom_site_fract_y
_atom_site_fract_z
Sm1 0.0000 0.0000 0.0000
Sn1 0.6667 0.3333 0.4497
Bi1 0.3333 0.6667 0.5217
```

## Properties
The calculated formation energy is -1.02 eV/f.u. For the calculated volume, the calculation gives 90.6 Å³ per cell. Its total magnetization is 0.00 μB per formula unit. For the density, the calculation gives 8.8 g/cm3. For the energy relative to the lowest polymorph listed for this composition, the calculation gives 311 meV/atom.

=====

# 2
The following is a GGA-PBE calculation of a relaxed structure of YV3Hg, from Alexandria via LeMat-Bulk.

Cell and atoms, written as CIF:
```
data_YV3Hg
_chemical_formula_sum 'Y1 V3 Hg1'
_space_group_name_H-M_alt 'P m -3 m'
_space_group_IT_number 221
_space_group_name_Hall '-P 4 2 3'
_cell_length_a 5.046
_cell_length_b 5.046
_cell_length_c 5.046
_cell_angle_alpha 90.00
_cell_angle_beta 90.00
_cell_angle_gamma 90.00
loop_
_atom_site_label
_atom_site_fract_x
_atom_site_fract_y
_atom_site_fract_z
Y1 0.000 0.000 0.000
V1 0.000 0.500 0.500
Hg1 0.500 0.500 0.500
```

## Properties
The calculated formation energy is 6.57 eV/f.u. For the calculated volume, the calculation gives 128.5 Å³ per cell. Its total magnetization is 9.56 μB per formula unit. For the density, the calculation gives 5.7 g/cm3. For the energy relative to the lowest polymorph listed for this composition, the calculation gives 0 meV/atom.

=====

# 3
The following is a GGA-PBE calculation of a relaxed structure of TcAgC2, from Alexandria via LeMat-Bulk.

Cell and atoms, written as CIF:
```
data_TcAgC2
_chemical_formula_sum 'Tc4 Ag4 C8'
_space_group_name_H-M_alt 'F m -3 m'
_space_group_IT_number 225
_space_group_name_Hall '-F 4 2 3'
_cell_length_a 5.566
_cell_length_b 5.566
_cell_length_c 5.566
_cell_angle_alpha 90.00
_cell_angle_beta 90.00
_cell_angle_gamma 90.00
loop_
_atom_site_label
_atom_site_fract_x
_atom_site_fract_y
_atom_site_fract_z
Tc1 0.000 0.000 0.000
Ag1 0.000 0.000 0.500
C1 0.250 0.250 0.250
```

## Properties
The calculated formation energy is 7.90 eV/f.u. For the calculated volume, the calculation gives 172.5 Å³ per cell. Its total magnetization is 0.00 μB per formula unit. For the density, the calculation gives 8.9 g/cm3. For the energy relative to the lowest polymorph listed for this composition, the calculation gives 972 meV/atom.

=====

# 4
The following is a GGA-PBE calculation of a relaxed structure of CoIrRu2, from Alexandria via LeMat-Bulk.

Cell and atoms, written as CIF:
```
data_CoIrRu2
_chemical_formula_sum 'Co3 Ir3 Ru6'
_space_group_name_H-M_alt 'R 3 m'
_space_group_IT_number 160
_space_group_name_Hall 'R 3 -2"'
_cell_length_a 4.0826
_cell_length_b 4.0826
_cell_length_c 11.9177
_cell_angle_alpha 90.00
_cell_angle_beta 90.00
_cell_angle_gamma 120.00
loop_
_atom_site_label
_atom_site_fract_x
_atom_site_fract_y
_atom_site_fract_z
Co1 0.0000 0.0000 0.0000
Ir1 0.0000 0.0000 0.2168
Ru1 0.0000 0.0000 0.4309
Ru2 0.0000 0.0000 0.6537
```

## Properties
The calculated formation energy is 1.58 eV/f.u. For the calculated volume, the calculation gives 172.0 Å³ per cell. Its total magnetization is 0.18 μB per formula unit. For the density, the calculation gives 13.1 g/cm3.

=====

calculated formation energy of number 3 (TcAgC2)?
7.90 eV/f.u.

=====

Among the records above, which one has the lowest calculated volume?
SmSnBi